# 1
14
Lattice="3.567 2.059 5.958 -3.567 2.059 5.958 0.000 -4.119 5.958" Properties=species:S:1:pos:R:3 comment="Ac2DyPa3N8 PBE optimized geometry" mass_density_g_cm3=9.0 formation_energy_uncorrected_mev_per_atom=-1485 dos_at_fermi_per_ev_atom=0.0000 pbc="T T T"
Ac 0.000 0.000 0.000
Ac 0.000 0.000 6.851
Dy 0.000 0.000 10.969
Pa 0.000 -2.045 2.994
Pa -1.771 1.023 2.994
Pa 1.771 1.023 2.994
N -1.885 -1.088 10.146
N 0.000 0.000 4.124
N 0.000 -2.333 7.770
N -2.020 1.166 7.770
N 1.885 -1.088 10.146
N 0.000 2.177 10.146
N 0.000 0.000 13.715
N 2.020 1.166 7.770

***

# 2
4
Lattice="1.810 1.045 12.904 -1.810 1.045 12.904 0.000 -2.090 12.904" Properties=species:S:1:pos:R:3 comment="BaTb2Gd PBE optimized geometry" mass_density_g_cm3=6.9 dos_at_fermi_per_ev_atom=1.6400 pbc="T T T"
Ba 0.000 0.000 0.000
Tb 0.000 0.000 3.610
Tb 0.000 0.000 35.101
Gd 0.000 0.000 19.356

***

| no. | E_tot (eV/atom) |
| --- | --- |
| 1 | -9.19 |
| 2 | -6.09 |